Entry 1:
The following is a GGA-PBE calculation of an optimized crystal structure of CaFeSbI2, from Alexandria.

Unit cell a=5.506 b=5.506 c=4.847 alpha=90.00 beta=90.00 gamma=90.00
Positions (direct):
1 Ca 0.000 0.000 0.000
2 Fe 0.500 0.500 0.500
3 Sb 0.500 0.500 0.000
4 I 0.000 0.500 0.500
5 I 0.500 0.000 0.500

Properties
- Formation energy from raw total energies: -0.190 eV/f.u.

---

Entry 2:
The following is a GGA-PBE calculation of an optimized crystal structure of SrZr2Te, from Alexandria.

Unit cell a=3.829 b=5.594 c=5.362 alpha=90.00 beta=94.86 gamma=90.00
Positions (direct):
1 Sr 0.000 0.000 0.000
2 Zr 0.387 0.500 0.738
3 Zr 0.613 0.500 0.262
4 Te 0.500 0.000 0.500

Properties
- Formation energy from raw total energies: -0.135 eV/f.u.

---

Entry 3:
The following is a GGA-PBE calculation of an optimized crystal structure of LaOsBr, from Alexandria.

Unit cell a=4.714 b=4.714 c=4.714 alpha=60.00 beta=60.00 gamma=60.00
Positions (direct):
1 La 0.000 0.000 0.000
2 Os 0.250 0.250 0.250
3 Br 0.500 0.500 0.500

Properties
- Formation energy from raw total energies: 1.009 eV/f.u.

---

Entry 4:
The following is a GGA-PBE calculation of an optimized crystal structure of ErPaAgS4, from Alexandria.

Unit cell a=7.965 b=7.965 c=7.965 alpha=120.67 beta=119.16 gamma=90.16
Positions (direct):
1 Er 0.500 0.000 0.000
2 Er 0.500 0.500 0.500
3 Pa 0.000 0.000 0.000
4 Pa 0.500 0.000 0.500
5 Ag 0.118 0.368 0.750
6 Ag 0.882 0.632 0.250
7 S 0.258 0.241 0.018
8 S 0.258 0.242 0.485
9 S 0.258 0.773 0.015
10 S 0.277 0.759 0.518
11 S 0.723 0.241 0.482
12 S 0.742 0.227 0.985
13 S 0.742 0.758 0.515
14 S 0.742 0.759 0.982

Properties
- Formation energy from raw total energies: -10.061 eV/f.u.

---

Entry 5:
The following is a GGA-PBE calculation of an optimized crystal structure of Sm2TlCu3, from Alexandria.

Unit cell a=9.088 b=8.688 c=5.788 alpha=74.79 beta=67.30 gamma=37.92
Positions (direct):
1 Sm 0.237 0.763 0.763
2 Sm 0.250 0.250 0.250
3 Sm 0.750 0.750 0.750
4 Sm 0.763 0.237 0.237
5 Tl 0.335 0.335 0.665
6 Tl 0.665 0.665 0.335
7 Cu 0.161 0.161 0.839
8 Cu 0.161 0.681 0.319
9 Cu 0.319 0.839 0.161
10 Cu 0.681 0.161 0.839
11 Cu 0.839 0.319 0.681
12 Cu 0.839 0.839 0.161

Properties
- Formation energy: -0.1794 eV/atom

---

Entry 6:
The following is a GGA-PBE calculation of an optimized crystal structure of Pr3Nd4Au4, from Alexandria.

Unit cell a=9.424 b=9.424 c=9.424 alpha=149.06 beta=130.98 gamma=59.10
Positions (direct):
1 Pr 0.000 0.000 0.000
2 Pr 0.400 0.900 0.500
3 Pr 0.600 0.100 0.500
4 Nd 0.048 0.328 0.720
5 Nd 0.392 0.672 0.720
6 Nd 0.608 0.328 0.280
7 Nd 0.952 0.672 0.280
8 Au 0.200 0.200 0.000
9 Au 0.312 0.500 0.812
10 Au 0.688 0.500 0.188
11 Au 0.800 0.800 0.000

Properties
- Formation energy: -0.5070 eV/atom

---

Entry 7:
The following is a GGA-PBE calculation of an optimized crystal structure of ScBe2Co, from Alexandria.

Unit cell a=2.816 b=2.816 c=6.108 alpha=90.00 beta=90.00 gamma=90.00
Positions (direct):
1 Sc 0.000 0.000 0.000
2 Be 0.000 0.000 0.528
3 Be 0.500 0.500 0.340
4 Co 0.500 0.500 0.709

Properties
- Formation energy: -0.0616 eV/atom

---

Entry 8:
The following is a GGA-PBE calculation of an optimized crystal structure of Nb3ReBi, from Alexandria.

Unit cell a=4.922 b=4.922 c=4.922 alpha=90.00 beta=90.00 gamma=90.00
Positions (direct):
1 Nb 0.000 0.000 0.500
2 Nb 0.000 0.500 0.000
3 Nb 0.500 0.000 0.000
4 Re 0.000 0.000 0.000
5 Bi 0.500 0.500 0.500

Properties
- Formation energy: 0.9336 eV/atom

---

Entry 9:
The following is a GGA-PBE calculation of an optimized crystal structure of BeTeAs2, from Alexandria.

Unit cell a=4.798 b=4.798 c=4.798 alpha=60.00 beta=60.00 gamma=60.00
Positions (direct):
1 Be 0.000 0.000 0.000
2 Te 0.500 0.500 0.500
3 As 0.250 0.250 0.250
4 As 0.750 0.750 0.750

Properties
- Formation energy from raw total energies: 2.905 eV/f.u.

---

Entry 10:
The following is a GGA-PBE calculation of an optimized crystal structure of AcTbIr, from Alexandria.

Unit cell a=4.959 b=4.872 c=7.377 alpha=90.00 beta=100.48 gamma=90.00
Positions (direct):
1 Ac 0.224 0.250 0.391
2 Ac 0.776 0.750 0.609
3 Tb 0.269 0.750 0.012
4 Tb 0.731 0.250 0.988
5 Ir 0.155 0.250 0.784
6 Ir 0.845 0.750 0.216

Properties
- Formation energy: -0.6029 eV/atom

---

Entry 11:
The following is a GGA-PBE calculation of an optimized crystal structure of Pu2GaO, from Alexandria.

Unit cell a=7.338 b=7.338 c=7.338 alpha=28.96 beta=28.96 gamma=28.96
Positions (direct):
1 Pu 0.229 0.229 0.229
2 Pu 0.771 0.771 0.771
3 Ga 0.000 0.000 0.000
4 O 0.500 0.500 0.500

Properties
- Formation energy from raw total energies: -4.743 eV/f.u.

---

Entry 12:
The following is a GGA-PBE calculation of an optimized crystal structure of LaDy3Ga2, from Alexandria.

Unit cell a=8.473 b=8.473 c=8.891 alpha=115.77 beta=115.77 gamma=35.67
Positions (direct):
1 La 0.132 0.132 0.192
2 La 0.868 0.868 0.808
3 Dy 0.064 0.064 0.716
4 Dy 0.313 0.313 0.010
5 Dy 0.379 0.379 0.489
6 Dy 0.621 0.621 0.511
7 Dy 0.687 0.687 0.990
8 Dy 0.936 0.936 0.284
9 Ga 0.224 0.224 0.614
10 Ga 0.488 0.488 0.850
11 Ga 0.512 0.512 0.150
12 Ga 0.776 0.776 0.386

Properties
- Formation energy: -0.3424 eV/atom